No. 1
4
Lattice="4.0465 0.0000 0.0000 0.0000 4.0465 0.0000 0.0000 0.0000 7.1949" Properties=species:S:1:pos:R:3 comment="ZnIn2Br | the Alexandria database | PBE | optimized geometry" energy_ev_per_cell=-8.9 density_g_cm3=5.29 e_form_raw_ev_per_atom=-0.12 vol_a3_per_fu=118 space_group="P4mm (99)" pbc="T T T"
Br 2.0232 2.0232 5.5788
In 0.0000 0.0000 7.0977
In 2.0232 2.0232 2.5353
Zn 0.0000 0.0000 2.7754

***

No. 2
12
Lattice="-3.3859 -3.7006 -2.7207 5.4204 0.6584 -1.6573 2.6380 -6.7773 5.9353" Properties=species:S:1:pos:R:3 comment="La3TbAl8 | the Alexandria database | PBE | optimized geometry" delta_e_f_ev_per_fu=-5.774 energy_ev_per_cell=-55.1 density_g_cm3=4.97 vol_a3_per_fu=265 space_group="P3m1 (156)" pbc="T T T"
La 0.6877 -5.1717 0.1946
La -0.2668 -2.7195 -1.9530
La 2.4634 -6.3289 5.5426
Tb 1.4999 -3.8535 3.3748
Al 3.8073 -4.1918 0.9634
Al 5.1145 -7.5501 3.9045
Al 0.3063 -6.9135 3.0383
Al 2.9455 -6.5929 2.2314
Al 1.2969 -8.3947 0.9067
Al 1.8768 -2.1070 0.5302
Al 4.6646 -1.7684 -0.3222
Al 2.9232 -3.6717 -1.7215

***

no.,size of the total moment (μB per cell)
1,0.00
2,0.00